Entry 1:
{
  "formula": "La2TbPmBi4",
  "functional": "PBE",
  "state": "optimized geometry",
  "volume_a3_per_cell": 279.3,
  "sg": "P2/m (10)",
  "formation_energy_ev_per_atom": -0.981,
  "e_tot_ev_per_cell": -42.61,
  "cell": [[4.627, 0.000, 0.000], [0.000, 7.995, -0.153], [0.000, 2.818, 7.496]],
  "species": ["La", "La", "Tb", "Pm", "Bi", "Bi", "Bi", "Bi"],
  "fractional_positions": [[0.000, 0.000, 0.000], [0.500, 0.000, 0.500], [0.000, 0.500, 0.500], [0.500, 0.500, 0.000], [0.000, 0.742, 0.750], [0.000, 0.258, 0.250], [0.500, 0.740, 0.256], [0.500, 0.260, 0.744]]
}



Entry 2:
{
  "formula": "LaTb2PmBi4",
  "functional": "PBE",
  "state": "optimized geometry",
  "volume_a3_per_cell": 269.9,
  "sg": "P2/m (10)",
  "formation_energy_ev_per_atom": -0.936,
  "e_tot_ev_per_cell": -41.95,
  "cell": [[4.575, 0.000, 0.000], [0.000, 7.904, -0.152], [0.000, 2.785, 7.411]],
  "species": ["La", "Tb", "Tb", "Pm", "Bi", "Bi", "Bi", "Bi"],
  "fractional_positions": [[0.000, 0.500, 0.500], [0.000, 0.000, 0.000], [0.500, 0.000, 0.500], [0.500, 0.500, 0.000], [0.000, 0.758, 0.750], [0.000, 0.242, 0.250], [0.500, 0.760, 0.244], [0.500, 0.240, 0.756]]
}